PrCoN | GGA-PBE | relaxed

Lattice parameters (Å, degrees): 3.5522 3.5522 3.9548 90.00 90.00 120.00
Space group P3m1 (No. 156)
One atom of each set of equivalent atoms:
1 Pr 0.0000 0.0000 0.0000 (multiplicity 1)
2 Co 0.6667 0.3333 0.5004 (multiplicity 1)
3 N 0.3333 0.6667 0.5016 (multiplicity 1)

For the total energy, the calculation gives -6.95 eV per atom. As for the total magnetization: 0.3 μB/f.u.


Pr4Co2N | GGA-PBE | relaxed

Lattice parameters (Å, degrees): 4.984 4.984 14.338 90.00 90.00 90.00
Space group I4/mmm (No. 139)
One atom of each set of equivalent atoms:
1 Pr 0.000 0.000 0.196 (multiplicity 4)
2 Pr 0.000 0.500 0.000 (multiplicity 4)
3 Co 0.000 0.000 0.374 (multiplicity 4)
4 N 0.000 0.000 0.500 (multiplicity 2)

For the total energy, the calculation gives -6.04 eV per atom. As for the total magnetization: 0.0 μB/f.u.


Pr2CoRe2N6 | GGA-PBE | relaxed

Lattice parameters (Å, degrees): 5.8788 5.8788 15.6500 90.00 90.00 120.00
Space group R-3m (No. 166, hexagonal axes)
One atom of each set of equivalent atoms:
1 Pr 0.0000 0.0000 0.2030 (multiplicity 6)
2 Co 0.0000 0.0000 0.0000 (multiplicity 3)
3 Re 0.0000 0.0000 0.4228 (multiplicity 6)
4 N 0.0283 0.5142 0.7430 (multiplicity 18)

For the total energy, the calculation gives -8.53 eV per atom. As for the total magnetization: 0.0 μB/f.u.


PrCoSiN | GGA-PBE | relaxed

Lattice parameters (Å, degrees): 3.812 3.812 8.206 90.00 90.00 90.00
Space group P4/nmm (No. 129, origin choice 2)
One atom of each set of equivalent atoms:
1 Pr 0.250 0.250 0.163 (multiplicity 2)
2 Co 0.250 0.750 0.500 (multiplicity 2)
3 Si 0.250 0.250 0.647 (multiplicity 2)
4 N 0.250 0.250 0.863 (multiplicity 2)

For the total energy, the calculation gives -7.44 eV per atom. As for the total magnetization: 0.0 μB/f.u.


PrCo2SiN | GGA-PBE | relaxed

Lattice parameters (Å, degrees): 3.724 10.853 6.834 90.00 90.00 90.00
Space group Cmcm (No. 63)
One atom of each set of equivalent atoms:
1 Pr 0.000 0.048 0.250 (multiplicity 4)
2 Co 0.000 0.335 0.056 (multiplicity 8)
3 Si 0.000 0.228 0.750 (multiplicity 4)
4 N 0.000 0.500 0.000 (multiplicity 4)

For the total energy, the calculation gives -7.28 eV per atom. As for the total magnetization: 1.1 μB/f.u.


SrPrCoN2 | GGA-PBE | relaxed

Lattice parameters (Å, degrees): 5.506 5.252 7.005 90.00 90.12 90.00
Space group P2/c (No. 13)
One atom of each set of equivalent atoms:
1 Sr 0.000 0.001 0.250 (multiplicity 2)
2 Pr 0.500 0.500 0.250 (multiplicity 2)
3 Co 0.500 0.000 0.000 (multiplicity 2)
4 N 0.281 0.255 0.000 (multiplicity 4)

For the total energy, the calculation gives -6.62 eV per atom. As for the total magnetization: 2.0 μB/f.u.


PrTa2CoN4 | GGA-PBE | relaxed

Lattice parameters (Å, degrees): 3.190 10.802 10.868 90.00 90.00 90.00
Space group Cmcm (No. 63)
One atom of each set of equivalent atoms:
1 Pr 0.000 0.108 0.250 (multiplicity 4)
2 Ta 0.000 0.369 0.059 (multiplicity 8)
3 Co 0.000 0.158 0.750 (multiplicity 4)
4 N 0.000 0.000 0.000 (multiplicity 4)
5 N 0.000 0.268 0.607 (multiplicity 8)
6 N 0.000 0.440 0.250 (multiplicity 4)

For the total energy, the calculation gives -9.58 eV per atom. As for the total magnetization: 0.0 μB/f.u.


PrTh2CoN4 | GGA-PBE | relaxed

Lattice parameters (Å, degrees): 3.615 11.804 11.930 90.00 90.00 90.00
Space group Cmcm (No. 63)
One atom of each set of equivalent atoms:
1 Pr 0.000 0.099 0.250 (multiplicity 4)
2 Th 0.000 0.368 0.059 (multiplicity 8)
3 Co 0.000 0.164 0.750 (multiplicity 4)
4 N 0.000 0.000 0.000 (multiplicity 4)
5 N 0.000 0.265 0.620 (multiplicity 8)
6 N 0.000 0.446 0.250 (multiplicity 4)

For the total energy, the calculation gives -8.65 eV per atom. As for the total magnetization: 2.0 μB/f.u.


PrTi2CoN4 | GGA-PBE | relaxed

Lattice parameters (Å, degrees): 3.169 10.719 10.600 90.00 90.00 90.00
Space group Cmcm (No. 63)
One atom of each set of equivalent atoms:
1 Pr 0.000 0.103 0.250 (multiplicity 4)
2 Ti 0.000 0.367 0.048 (multiplicity 8)
3 Co 0.000 0.161 0.750 (multiplicity 4)
4 N 0.000 0.000 0.000 (multiplicity 4)
5 N 0.000 0.266 0.608 (multiplicity 8)
6 N 0.000 0.430 0.250 (multiplicity 4)

For the total energy, the calculation gives -8.73 eV per atom. As for the total magnetization: 0.8 μB/f.u.


Pr2CoWN5 | GGA-PBE | relaxed

Lattice parameters (Å, degrees): 3.260 14.302 10.149 90.00 90.00 90.00
Space group Cmc2_1 (No. 36)
One atom of each set of equivalent atoms:
1 Pr 0.000 0.118 0.000 (multiplicity 4)
2 Pr 0.000 0.123 0.623 (multiplicity 4)
3 Co 0.000 0.446 0.751 (multiplicity 4)
4 W 0.000 0.205 0.324 (multiplicity 4)
5 N 0.000 0.030 0.315 (multiplicity 4)
6 N 0.000 0.303 0.956 (multiplicity 4)
7 N 0.000 0.319 0.684 (multiplicity 4)
8 N 0.000 0.333 0.310 (multiplicity 4)
9 N 0.000 0.498 0.584 (multiplicity 4)

For the total energy, the calculation gives -8.54 eV per atom. As for the total magnetization: 0.0 μB/f.u.


Co2Pt2N | GGA-PBE | relaxed

Lattice parameters (Å, degrees): 5.091 5.091 4.889 90.00 90.00 90.00
Space group P4/mbm (No. 127)
One atom of each set of equivalent atoms:
1 Co 0.195 0.305 0.000 (multiplicity 4)
2 Pt 0.181 0.681 0.500 (multiplicity 4)
3 N 0.000 0.000 0.000 (multiplicity 2)

The calculation puts the polymorph energy (0 for the lowest one) at 0 meV/atom. As for the total magnetization: 1.7 μB/f.u.


CoPtN3 | GGA-PBE | relaxed

Lattice parameters (Å, degrees): 3.887 3.887 3.887 90.00 90.00 90.00
Space group Pm-3m (No. 221)
One atom of each set of equivalent atoms:
1 Co 0.000 0.000 0.000 (multiplicity 1)
2 Pt 0.500 0.500 0.500 (multiplicity 1)
3 N 0.000 0.500 0.500 (multiplicity 3)

For the total energy, the calculation gives -5.45 eV per atom. As for the total magnetization: 3.8 μB/f.u.